P | First-principles (PBEsol) data for a relaxed Tc3Pd crystal, as listed in the Alexandria database.

Summary:
The density of states at the Fermi level comes out at 4.35 states/eV/cell.

abc: 2.714 2.714 8.803
angles: 90.00 90.00 120.00
Positions (direct):
Tc 0.000 0.000 0.000
Tc 0.667 0.333 0.244
Tc 0.667 0.333 0.756
Pd 0.000 0.000 0.500



Q | First-principles (PBEsol) data for a relaxed Tc3Pd crystal, as listed in the Alexandria database.

Summary:
The density of states at the Fermi level comes out at 3.94 states/eV/cell.

abc: 5.454 5.454 4.332
angles: 90.00 90.00 120.00
Positions (direct):
Tc 0.159 0.318 0.250
Tc 0.159 0.841 0.250
Tc 0.318 0.159 0.750
Tc 0.682 0.841 0.250
Tc 0.841 0.159 0.750
Tc 0.841 0.682 0.750
Pd 0.333 0.667 0.750
Pd 0.667 0.333 0.250



R | First-principles (PBEsol) data for a relaxed Tc3Pd crystal, as listed in the Alexandria database.

Summary:
The density of states at the Fermi level comes out at 11.06 states/eV/cell.

abc: 2.699 2.699 26.761
angles: 90.00 90.00 120.00
Positions (direct):
Tc 0.000 0.000 0.000
Tc 0.000 0.000 0.252
Tc 0.000 0.000 0.748
Tc 0.333 0.667 0.415
Tc 0.333 0.667 0.667
Tc 0.333 0.667 0.919
Tc 0.667 0.333 0.081
Tc 0.667 0.333 0.333
Tc 0.667 0.333 0.585
Pd 0.000 0.000 0.500
Pd 0.333 0.667 0.167
Pd 0.667 0.333 0.833



Best to worst by energy: Q, P, R.



P | First-principles (PBEsol) data for a relaxed Y2TePd2 crystal, as listed in the Alexandria database.

Summary:
The density of states at the Fermi level comes out at 3.83 states/eV/cell.

abc: 7.554 7.554 3.776
angles: 90.00 90.00 90.00
Positions (direct):
Y 0.172 0.328 0.000
Y 0.328 0.828 0.000
Y 0.672 0.172 0.000
Y 0.828 0.672 0.000
Te 0.000 0.000 0.500
Te 0.500 0.500 0.500
Pd 0.126 0.626 0.500
Pd 0.374 0.126 0.500
Pd 0.626 0.874 0.500
Pd 0.874 0.374 0.500



Q | First-principles (PBEsol) data for a relaxed Y2TePd2 crystal, as listed in the Alexandria database.

Summary:
The density of states at the Fermi level comes out at 7.30 states/eV/cell.

abc: 3.835 3.835 15.664
angles: 90.00 90.00 90.00
Positions (direct):
Y 0.000 0.000 0.119
Y 0.000 0.000 0.881
Y 0.500 0.500 0.381
Y 0.500 0.500 0.619
Te 0.000 0.000 0.500
Te 0.500 0.500 0.000
Pd 0.000 0.500 0.250
Pd 0.000 0.500 0.750
Pd 0.500 0.000 0.250
Pd 0.500 0.000 0.750



Best to worst by energy: P, Q.



P | First-principles (PBEsol) data for a relaxed TlZn2Pd2 crystal, as listed in the Alexandria database.

Summary:
The density of states at the Fermi level comes out at 3.10 states/eV/cell.

abc: 3.980 3.980 11.132
angles: 90.00 90.00 90.00
Positions (direct):
Tl 0.000 0.000 0.000
Tl 0.500 0.500 0.500
Zn 0.000 0.000 0.388
Zn 0.000 0.000 0.612
Zn 0.500 0.500 0.112
Zn 0.500 0.500 0.888
Pd 0.000 0.500 0.250
Pd 0.000 0.500 0.750
Pd 0.500 0.000 0.250
Pd 0.500 0.000 0.750



Q | First-principles (PBEsol) data for a relaxed TlZn2Pd2 crystal, as listed in the Alexandria database.

Summary:
The density of states at the Fermi level comes out at 2.81 states/eV/cell.

abc: 3.571 3.571 13.012
angles: 90.00 90.00 90.00
Positions (direct):
Tl 0.000 0.000 0.000
Tl 0.500 0.500 0.500
Zn 0.000 0.500 0.250
Zn 0.000 0.500 0.750
Zn 0.500 0.000 0.250
Zn 0.500 0.000 0.750
Pd 0.000 0.000 0.395
Pd 0.000 0.000 0.605
Pd 0.500 0.500 0.105
Pd 0.500 0.500 0.895



Best to worst by energy: Q, P.



P | First-principles (PBEsol) data for a relaxed PmSe2 crystal, as listed in the Alexandria database.

Summary:
The density of states at the Fermi level comes out at 1.04 states/eV/cell.

abc: 8.378 4.091 8.240
angles: 90.00 90.06 90.00
Positions (direct):
Pm 0.226 0.228 0.374
Pm 0.226 0.272 0.874
Pm 0.774 0.728 0.126
Pm 0.774 0.772 0.626
Se 0.132 0.745 0.125
Se 0.132 0.755 0.625
Se 0.499 0.696 0.379
Se 0.499 0.804 0.879
Se 0.501 0.196 0.121
Se 0.501 0.304 0.621
Se 0.868 0.245 0.375
Se 0.868 0.255 0.875



Q | First-principles (PBEsol) data for a relaxed PmSe2 crystal, as listed in the Alexandria database.

Summary:
The density of states at the Fermi level comes out at 0.83 states/eV/cell.

abc: 4.082 4.082 8.397
angles: 90.00 90.00 90.00
Positions (direct):
Pm 0.250 0.250 0.227
Pm 0.750 0.750 0.773
Se 0.250 0.250 0.868
Se 0.250 0.750 0.500
Se 0.750 0.250 0.500
Se 0.750 0.750 0.132



Best to worst by energy: P, Q.



P | First-principles (PBEsol) data for a relaxed PmSm3 crystal, as listed in the Alexandria database.

Summary:
The density of states at the Fermi level comes out at 5.68 states/eV/cell.

abc: 5.020 5.020 5.020
angles: 90.00 90.00 90.00
Positions (direct):
Pm 0.000 0.000 0.000
Sm 0.000 0.500 0.500
Sm 0.500 0.000 0.500
Sm 0.500 0.500 0.000



Q | First-principles (PBEsol) data for a relaxed PmSm3 crystal, as listed in the Alexandria database.

Summary:
The density of states at the Fermi level comes out at 13.22 states/eV/cell.

abc: 7.149 7.149 5.753
angles: 90.00 90.00 120.00
Positions (direct):
Pm 0.333 0.667 0.250
Pm 0.667 0.333 0.750
Sm 0.167 0.333 0.750
Sm 0.167 0.833 0.750
Sm 0.333 0.167 0.250
Sm 0.667 0.833 0.750
Sm 0.833 0.167 0.250
Sm 0.833 0.667 0.250



Best to worst by energy: P, Q.



P | First-principles (PBEsol) data for a relaxed Tb3Pm crystal, as listed in the Alexandria database.

Summary:
The density of states at the Fermi level comes out at 10.17 states/eV/cell.

abc: 4.956 4.956 9.915
angles: 90.00 90.00 90.00
Positions (direct):
Tb 0.000 0.000 0.000
Tb 0.000 0.500 0.250
Tb 0.000 0.500 0.750
Tb 0.500 0.000 0.250
Tb 0.500 0.000 0.750
Tb 0.500 0.500 0.500
Pm 0.000 0.000 0.500
Pm 0.500 0.500 0.000



Q | First-principles (PBEsol) data for a relaxed Tb3Pm crystal, as listed in the Alexandria database.

Summary:
The density of states at the Fermi level comes out at 13.33 states/eV/cell.

abc: 7.107 7.107 5.632
angles: 90.00 90.00 120.00
Positions (direct):
Tb 0.167 0.333 0.250
Tb 0.167 0.833 0.250
Tb 0.333 0.167 0.750
Tb 0.667 0.833 0.250
Tb 0.833 0.167 0.750
Tb 0.833 0.667 0.750
Pm 0.333 0.667 0.750
Pm 0.667 0.333 0.250



Best to worst by energy: P, Q.



P | First-principles (PBEsol) data for a relaxed Pr3Sc crystal, as listed in the Alexandria database.

Summary:
The density of states at the Fermi level comes out at 12.45 states/eV/cell.

abc: 7.126 7.126 5.690
angles: 90.00 90.00 120.00
Positions (direct):
Pr 0.170 0.340 0.250
Pr 0.170 0.830 0.250
Pr 0.340 0.170 0.750
Pr 0.660 0.830 0.250
Pr 0.830 0.170 0.750
Pr 0.830 0.660 0.750
Sc 0.333 0.667 0.750
Sc 0.667 0.333 0.250



Q | First-principles (PBEsol) data for a relaxed Pr3Sc crystal, as listed in the Alexandria database.

Summary:
The density of states at the Fermi level comes out at 11.92 states/eV/cell.

abc: 4.980 4.980 9.969
angles: 90.00 90.00 90.00
Positions (direct):
Pr 0.000 0.000 0.000
Pr 0.000 0.500 0.250
Pr 0.000 0.500 0.750
Pr 0.500 0.000 0.250
Pr 0.500 0.000 0.750
Pr 0.500 0.500 0.500
Sc 0.000 0.000 0.500
Sc 0.500 0.500 0.000



Best to worst by energy: Q, P.



P | First-principles (PBEsol) data for a relaxed Pr5Sn3 crystal, as listed in the Alexandria database.

Summary:
The density of states at the Fermi level comes out at 19.40 states/eV/cell.

abc: 9.338 9.338 9.338
angles: 96.20 96.20 141.63
Positions (direct):
Pr 0.084 0.782 0.866
Pr 0.218 0.084 0.302
Pr 0.250 0.750 0.500
Pr 0.282 0.584 0.866
Pr 0.416 0.282 0.698
Pr 0.584 0.718 0.302
Pr 0.718 0.416 0.134
Pr 0.750 0.250 0.500
Pr 0.782 0.916 0.698
Pr 0.916 0.218 0.134
Sn 0.161 0.339 0.500
Sn 0.250 0.250 0.000
Sn 0.339 0.839 0.179
Sn 0.661 0.161 0.821
Sn 0.750 0.750 0.000
Sn 0.839 0.661 0.500



Q | First-principles (PBEsol) data for a relaxed Pr5Sn3 crystal, as listed in the Alexandria database.

Summary:
The density of states at the Fermi level comes out at 18.56 states/eV/cell.

abc: 9.263 9.263 6.756
angles: 90.00 90.00 120.00
Positions (direct):
Pr 0.000 0.244 0.250
Pr 0.000 0.756 0.750
Pr 0.244 0.000 0.250
Pr 0.244 0.244 0.750
Pr 0.333 0.667 0.000
Pr 0.333 0.667 0.500
Pr 0.667 0.333 0.000
Pr 0.667 0.333 0.500
Pr 0.756 0.000 0.750
Pr 0.756 0.756 0.250
Sn 0.000 0.393 0.750
Sn 0.000 0.607 0.250
Sn 0.393 0.000 0.750
Sn 0.393 0.393 0.250
Sn 0.607 0.000 0.250
Sn 0.607 0.607 0.750



Best to worst by energy: P, Q.



P | First-principles (PBEsol) data for a relaxed PrY crystal, as listed in the Alexandria database.

Summary:
The density of states at the Fermi level comes out at 8.37 states/eV/cell.

abc: 17.380 17.380 17.380
angles: 11.86 11.86 11.86
Positions (direct):
Pr 0.000 0.000 0.000
Pr 0.111 0.111 0.111
Pr 0.502 0.502 0.502
Y 0.388 0.388 0.388
Y 0.611 0.611 0.611
Y 0.890 0.890 0.890



Q | First-principles (PBEsol) data for a relaxed PrY crystal, as listed in the Alexandria database.

Summary:
The density of states at the Fermi level comes out at 3.34 states/eV/cell.

abc: 3.607 3.607 5.740
angles: 90.00 90.00 120.00
Positions (direct):
Pr 0.000 0.000 0.000
Y 0.667 0.333 0.500



Best to worst by energy: P, Q.



P | First-principles (PBEsol) data for a relaxed RbPt3 crystal, as listed in the Alexandria database.

Summary:
The density of states at the Fermi level comes out at 6.08 states/eV/cell.

abc: 2.844 2.844 10.199
angles: 90.00 90.00 120.00
Positions (direct):
Rb 0.000 0.000 0.000
Pt 0.000 0.000 0.500
Pt 0.667 0.333 0.279
Pt 0.667 0.333 0.721



Q | First-principles (PBEsol) data for a relaxed RbPt3 crystal, as listed in the Alexandria database.

Summary:
The density of states at the Fermi level comes out at 6.27 states/eV/cell.

abc: 4.452 7.733 6.146
angles: 90.00 90.00 90.00
Positions (direct):
Rb 0.250 0.250 0.056
Rb 0.750 0.750 0.944
Pt 0.250 0.080 0.551
Pt 0.250 0.420 0.551
Pt 0.250 0.750 0.478
Pt 0.750 0.250 0.522
Pt 0.750 0.580 0.449
Pt 0.750 0.920 0.449



R | First-principles (PBEsol) data for a relaxed RbPt3 crystal, as listed in the Alexandria database.

Summary:
The density of states at the Fermi level comes out at 33.34 states/eV/cell.

abc: 6.635 6.635 6.635
angles: 90.00 90.00 90.00
Positions (direct):
Rb 0.000 0.000 0.000
Rb 0.000 0.500 0.500
Rb 0.500 0.000 0.500
Rb 0.500 0.500 0.000
Pt 0.000 0.000 0.500
Pt 0.000 0.500 0.000
Pt 0.250 0.250 0.250
Pt 0.250 0.250 0.750
Pt 0.250 0.750 0.250
Pt 0.250 0.750 0.750
Pt 0.500 0.000 0.000
Pt 0.500 0.500 0.500
Pt 0.750 0.250 0.250
Pt 0.750 0.250 0.750
Pt 0.750 0.750 0.250
Pt 0.750 0.750 0.750



Best to worst by energy: Q, P, R.



P | First-principles (PBEsol) data for a relaxed RePt crystal, as listed in the Alexandria database.

Summary:
The density of states at the Fermi level comes out at 9.71 states/eV/cell.

abc: 10.218 2.741 6.499
angles: 90.00 104.48 90.00
Positions (direct):
Re 0.000 0.000 0.000
Re 0.050 0.000 0.625
Re 0.211 0.500 0.952
Re 0.500 0.500 0.000
Re 0.550 0.500 0.625
Re 0.711 0.000 0.952
Pt 0.156 0.500 0.338
Pt 0.329 0.000 0.682
Pt 0.385 0.000 0.275
Pt 0.656 0.000 0.338
Pt 0.829 0.500 0.682
Pt 0.885 0.500 0.275



Q | First-principles (PBEsol) data for a relaxed RePt crystal, as listed in the Alexandria database.

Summary:
The density of states at the Fermi level comes out at 3.04 states/eV/cell.

abc: 2.755 4.403 4.821
angles: 90.00 90.00 90.00
Positions (direct):
Re 0.250 0.250 0.087
Re 0.750 0.750 0.913
Pt 0.250 0.750 0.412
Pt 0.750 0.250 0.588



R | First-principles (PBEsol) data for a relaxed RePt crystal, as listed in the Alexandria database.

Summary:
The density of states at the Fermi level comes out at 3.15 states/eV/cell.

abc: 2.768 2.768 8.902
angles: 90.00 90.00 120.00
Positions (direct):
Re 0.333 0.667 0.383
Re 0.667 0.333 0.617
Pt 0.333 0.667 0.866
Pt 0.667 0.333 0.134



S | First-principles (PBEsol) data for a relaxed RePt crystal, as listed in the Alexandria database.

Summary:
The density of states at the Fermi level comes out at 13.47 states/eV/cell.

abc: 5.153 5.153 5.153
angles: 90.00 90.00 90.00
Positions (direct):
Re 0.000 0.000 0.000
Re 0.000 0.500 0.500
Re 0.500 0.000 0.500
Re 0.500 0.500 0.000
Pt 0.000 0.000 0.500
Pt 0.000 0.500 0.000
Pt 0.500 0.000 0.000
Pt 0.500 0.500 0.500



Best to worst by energy: R, P, Q, S.